# 1
Here is a relaxed structure of Rb3TaCl2F6 from Alexandria via LeMat-Bulk. Energies are from PBE.

The structure in CIF format:
```
data_Rb3TaCl2F6
_chemical_formula_sum 'Rb6 Ta2 Cl4 F12'
_cell_length_a 16.1965
_cell_length_b 8.0129
_cell_length_c 4.9197
_cell_angle_alpha 90.00
_cell_angle_beta 90.68
_cell_angle_gamma 90.00
_symmetry_space_group_name_H-M 'C 1 2/m 1'
_symmetry_Int_Tables_number 12
loop_
_symmetry_equiv_pos_as_xyz
'x,y,z'
'-x,-y,-z'
'-x,y,-z'
'x,-y,z'
'x+1/2,y+1/2,z'
'-x+1/2,-y+1/2,-z'
'-x+1/2,y+1/2,-z'
'x+1/2,-y+1/2,z'
loop_
_atom_site_label
_atom_site_fract_x
_atom_site_fract_y
_atom_site_fract_z
Rb1 0.0000 0.0000 0.0000
Rb2 0.2500 0.2500 0.5000
Ta1 0.0000 0.5000 0.5000
Cl1 0.1942 0.0000 0.9858
F1 0.0391 0.3261 0.2627
F2 0.1076 0.5000 0.6728
```

Results
Its calculated total energy is -5.2664 eV/atom. As for the uncorrected formation energy: -2.79 eV per atom. Its density of states at the Fermi level is 0.000 states/eV per cell. Its total magnetization is 0.000 μB/atom.

=====

# 2
Here is a relaxed structure of Rb2TaCl4F2 from Alexandria via LeMat-Bulk. Energies are from PBE.

The structure in CIF format:
```
data_Rb2TaCl4F2
_chemical_formula_sum 'Rb4 Ta2 Cl8 F4'
_cell_length_a 11.4883
_cell_length_b 7.3893
_cell_length_c 5.7407
_cell_angle_alpha 90.00
_cell_angle_beta 100.02
_cell_angle_gamma 90.00
_symmetry_space_group_name_H-M 'C 1 2/m 1'
_symmetry_Int_Tables_number 12
loop_
_symmetry_equiv_pos_as_xyz
'x,y,z'
'-x,-y,-z'
'-x,y,-z'
'x,-y,z'
'x+1/2,y+1/2,z'
'-x+1/2,-y+1/2,-z'
'-x+1/2,y+1/2,-z'
'x+1/2,-y+1/2,z'
loop_
_atom_site_label
_atom_site_fract_x
_atom_site_fract_y
_atom_site_fract_z
Rb1 0.1673 0.0000 0.3148
Ta1 0.0000 0.5000 0.0000
Cl1 0.0960 0.2599 0.8041
F1 0.1331 0.5000 0.2576
```

Results
Its calculated total energy is -4.8882 eV/atom. As for the uncorrected formation energy: -2.12 eV per atom. Its total magnetization is 0.111 μB/atom.

=====

# 3
Here is a relaxed structure of Rb2TcClF5 from Alexandria via LeMat-Bulk. Energies are from PBE.

The structure in CIF format:
```
data_Rb2TcClF5
_chemical_formula_sum 'Rb4 Tc2 Cl2 F10'
_cell_length_a 6.6300
_cell_length_b 6.6300
_cell_length_c 8.6478
_cell_angle_alpha 90.00
_cell_angle_beta 90.00
_cell_angle_gamma 90.00
_symmetry_space_group_name_H-M 'I 4 m m'
_symmetry_Int_Tables_number 107
_symmetry_space_group_name_Hall 'I 4 -2'
loop_
_atom_site_label
_atom_site_fract_x
_atom_site_fract_y
_atom_site_fract_z
Rb1 0.0000 0.5000 0.0000
Tc1 0.0000 0.0000 0.2593
Cl1 0.0000 0.0000 0.5323
F1 0.0000 0.0000 0.0315
F2 0.2102 0.2102 0.2572
```

Results
Its calculated total energy is -4.9507 eV/atom. As for the uncorrected formation energy: -2.34 eV per atom. Its total magnetization is 0.333 μB/atom.

=====

# 4
Here is a relaxed structure of Rb2TcCl5F from Alexandria via LeMat-Bulk. Energies are from PBE.

The structure in CIF format:
```
data_Rb2TcCl5F
_chemical_formula_sum 'Rb4 Tc2 Cl10 F2'
_cell_length_a 7.1892
_cell_length_b 7.1892
_cell_length_c 10.0391
_cell_angle_alpha 90.00
_cell_angle_beta 90.00
_cell_angle_gamma 90.00
_symmetry_space_group_name_H-M 'I 4 m m'
_symmetry_Int_Tables_number 107
_symmetry_space_group_name_Hall 'I 4 -2'
loop_
_atom_site_label
_atom_site_fract_x
_atom_site_fract_y
_atom_site_fract_z
Rb1 0.0000 0.5000 0.0000
Tc1 0.0000 0.0000 0.2508
Cl1 0.0000 0.0000 0.4865
Cl2 0.2341 0.2341 0.2488
F1 0.0000 0.0000 0.0549
```

Results
Its calculated total energy is -4.1462 eV/atom. As for the uncorrected formation energy: -1.55 eV per atom. Its total magnetization is 0.333 μB/atom.

=====

# 5
Here is a relaxed structure of Rb2TeCl2F4 from Alexandria via LeMat-Bulk. Energies are from PBE.

The structure in CIF format:
```
data_Rb2TeCl2F4
_chemical_formula_sum 'Rb4 Te2 Cl4 F8'
_cell_length_a 12.8487
_cell_length_b 6.4291
_cell_length_c 5.3586
_cell_angle_alpha 90.00
_cell_angle_beta 93.75
_cell_angle_gamma 90.00
_symmetry_space_group_name_H-M 'C 1 2/m 1'
_symmetry_Int_Tables_number 12
loop_
_symmetry_equiv_pos_as_xyz
'x,y,z'
'-x,-y,-z'
'-x,y,-z'
'x,-y,z'
'x+1/2,y+1/2,z'
'-x+1/2,-y+1/2,-z'
'-x+1/2,y+1/2,-z'
'x+1/2,-y+1/2,z'
loop_
_atom_site_label
_atom_site_fract_x
_atom_site_fract_y
_atom_site_fract_z
Rb1 0.1375 0.0000 0.1544
Te1 0.0000 0.5000 0.5000
Cl1 0.1862 0.5000 0.3260
F1 0.0480 0.2622 0.7442
```

Results
Its calculated total energy is -3.8763 eV/atom. As for the uncorrected formation energy: -2.07 eV per atom. Its density of states at the Fermi level is 0.000 states/eV per cell. Its total magnetization is 0.000 μB/atom.

=====

# 6
Here is a relaxed structure of Rb2TeCl4F2 from Alexandria via LeMat-Bulk. Energies are from PBE.

The structure in CIF format:
```
data_Rb2TeCl4F2
_chemical_formula_sum 'Rb4 Te2 Cl8 F4'
_cell_length_a 11.7761
_cell_length_b 7.4624
_cell_length_c 5.9163
_cell_angle_alpha 90.00
_cell_angle_beta 102.50
_cell_angle_gamma 90.00
_symmetry_space_group_name_H-M 'C 1 2/m 1'
_symmetry_Int_Tables_number 12
loop_
_symmetry_equiv_pos_as_xyz
'x,y,z'
'-x,-y,-z'
'-x,y,-z'
'x,-y,z'
'x+1/2,y+1/2,z'
'-x+1/2,-y+1/2,-z'
'-x+1/2,y+1/2,-z'
'x+1/2,-y+1/2,z'
loop_
_atom_site_label
_atom_site_fract_x
_atom_site_fract_y
_atom_site_fract_z
Rb1 0.1731 0.0000 0.3161
Te1 0.0000 0.5000 0.0000
Cl1 0.0961 0.2493 0.8047
F1 0.1436 0.5000 0.2740
```

Results
Its calculated total energy is -3.4615 eV/atom. As for the uncorrected formation energy: -1.66 eV per atom. Its density of states at the Fermi level is 0.000 states/eV per cell. Its total magnetization is 0.000 μB/atom.

=====

# 7
Here is a relaxed structure of Rb2TeCl6F from Alexandria via LeMat-Bulk. Energies are from PBE.

The structure in CIF format:
```
data_Rb2TeCl6F
_chemical_formula_sum 'Rb4 Te2 Cl12 F2'
_cell_length_a 8.0071
_cell_length_b 8.0071
_cell_length_c 9.0939
_cell_angle_alpha 90.00
_cell_angle_beta 90.00
_cell_angle_gamma 90.00
_symmetry_space_group_name_H-M 'I 4/m m m'
_symmetry_Int_Tables_number 139
_symmetry_space_group_name_Hall '-I 4 2'
loop_
_atom_site_label
_atom_site_fract_x
_atom_site_fract_y
_atom_site_fract_z
Rb1 0.0000 0.5000 0.2500
Te1 0.0000 0.0000 0.0000
Cl1 0.0000 0.0000 0.2690
Cl2 0.2262 0.2262 0.0000
F1 0.0000 0.0000 0.5000
```

Results
Its calculated total energy is -2.9353 eV/atom. As for the uncorrected formation energy: -1.13 eV per atom. Its density of states at the Fermi level is 2.686 states/eV per cell. Its total magnetization is 0.000 μB/atom.

=====

# 8
Here is a relaxed structure of RbTeCl2F from Alexandria via LeMat-Bulk. Energies are from PBE.

The structure in CIF format:
```
data_RbTeCl2F
_chemical_formula_sum 'Rb1 Te1 Cl2 F1'
_cell_length_a 5.3531
_cell_length_b 5.3531
_cell_length_c 4.8705
_cell_angle_alpha 90.00
_cell_angle_beta 90.00
_cell_angle_gamma 90.00
_symmetry_space_group_name_H-M 'P 4/m m m'
_symmetry_Int_Tables_number 123
_symmetry_space_group_name_Hall '-P 4 2'
loop_
_atom_site_label
_atom_site_fract_x
_atom_site_fract_y
_atom_site_fract_z
Rb1 0.0000 0.0000 0.0000
Te1 0.5000 0.5000 0.0000
Cl1 0.0000 0.5000 0.5000
F1 0.0000 0.0000 0.5000
```

Results
Its calculated total energy is -2.2898 eV/atom. As for the uncorrected formation energy: -0.36 eV per atom. Its density of states at the Fermi level is 6.746 states/eV per cell. Its total magnetization is 0.177 μB/atom.